#w
VASP calculation (meta-GGA SCAN) on MgHgW2 at its PBEsol-relaxed geometry.

## Properties
DOS(E_F) in states/eV/cell: 2.062
Space-group type: P4/mmm

Unit cell a=3.5242 b=3.5242 c=5.4907 alpha=90.00 beta=90.00 gamma=90.00
Fractional positions:
Mg  0.0000  0.0000  0.0000
Hg  0.0000  0.0000  0.5000
W  0.5000  0.5000  0.2267
W  0.5000  0.5000  0.7733

#x
VASP calculation (meta-GGA SCAN) on MgHgW2 at its PBEsol-relaxed geometry.

## Properties
DOS(E_F) in states/eV/cell: 1.868
Space-group type: Pmm2

Unit cell a=2.7486 b=4.2571 c=5.9146 alpha=90.00 beta=90.00 gamma=90.00
Fractional positions:
Mg  0.0000  0.0000  0.0000
Hg  0.5000  0.5000  0.7709
W  0.0000  0.0000  0.4760
W  0.5000  0.5000  0.2771

#y
VASP calculation (meta-GGA SCAN) on MgHgW2 at its PBEsol-relaxed geometry.

## Properties
DOS(E_F) in states/eV/cell: 2.143
Space-group type: I-4m2

Unit cell a=4.5750 b=4.5750 c=4.5750 alpha=120.15 beta=120.15 gamma=89.74
Fractional positions:
Mg  0.0000  0.0000  0.0000
Hg  0.2500  0.7500  0.5000
W  0.5000  0.5000  0.0000
W  0.7500  0.2500  0.5000

Structures ranked by computed energy, the most stable listed first: #x, #y, #w.